K3Ga4Ag4 (PBE-GGA, optimized geometry); formation energy from the elements = -0.0799 eV/atom; magnetization = 0.000 μB per cell; electronic total energy = -0.092 hartree per atom
1.0
6.752 0.000 -2.387
-3.376 5.848 -2.387
0.000 0.000 7.162
K Ga Ag
3 4 4
Cartesian
1.688 2.924 -2.387
3.376 0.000 2.387
-1.688 2.924 2.387
-0.826 1.430 -0.584
0.000 0.000 1.751
1.651 0.000 -0.584
2.550 4.418 1.803
-2.052 3.554 -1.451
4.104 0.000 -1.451
0.000 0.000 4.352
1.324 2.294 0.936

KNaGa2Ag (PBE-GGA, optimized geometry); formation energy from the elements = 0.0790 eV/atom; magnetization = 0.000 μB per cell; electronic total energy = -0.080 hartree per atom
1.0
5.071 0.000 0.000
0.000 5.071 0.000
0.000 0.000 5.631
Na K Ga Ag
1 1 2 1
Cartesian
0.000 0.000 2.815
2.536 2.536 2.815
0.000 2.536 0.000
2.536 0.000 0.000
0.000 0.000 0.000

K2NaGaAg (PBE-GGA, optimized geometry); formation energy from the elements = 0.0913 eV/atom; magnetization = 0.000 μB per cell; electronic total energy = -0.066 hartree per atom
1.0
-0.435 -0.855 6.454
-4.635 -4.502 -0.909
3.497 -3.552 -0.235
Na K Ga Ag
1 2 1 1
Cartesian
-0.786 -4.455 2.655
-2.317 -2.251 -0.454
-0.217 -0.428 3.227
1.749 -1.776 -0.118
0.000 0.000 0.000

KNaGaAg2 (PBE-GGA, optimized geometry); formation energy from the elements = 0.0461 eV/atom; magnetization = 0.000 μB per cell; electronic total energy = -0.080 hartree per atom
1.0
-1.545 -3.345 3.528
-3.223 -2.066 -3.370
3.957 -3.534 -1.618
Na K Ga Ag
1 1 1 2
Cartesian
1.979 -1.767 -0.809
-0.405 -4.473 -0.730
0.000 0.000 0.000
-1.612 -1.033 -1.685
-0.772 -1.672 1.764

K2GaAgO (PBE-GGA, optimized geometry); formation energy without anion corrections = -18 kJ/mol of formula units; magnetization = 0.000 μB per cell; electronic total energy = -0.097 hartree per atom
1.0
6.431 0.000 0.000
0.000 3.980 0.000
0.000 0.000 6.431
O K Ga Ag
1 2 1 1
Cartesian
0.000 1.990 0.000
0.000 0.000 3.216
3.216 0.000 0.000
3.216 1.990 3.216
0.000 0.000 0.000

KGa2AgPb (PBE-GGA, optimized geometry); formation energy from the elements = 0.5292 eV/atom; magnetization = 0.000 μB per cell; electronic total energy = -0.081 hartree per atom
1.0
5.583 0.000 0.000
0.000 7.053 0.000
0.000 0.000 5.583
Pb K Ga Ag
1 1 2 1
Cartesian
0.000 0.000 0.000
0.000 3.527 0.000
0.000 0.000 2.791
2.791 0.000 0.000
2.791 3.527 2.791

KGaAgPd2 (PBE-GGA, optimized geometry); formation energy from the elements = 1.2005 eV/atom; magnetization = 0.000 μB per cell; electronic total energy = -0.083 hartree per atom
1.0
5.060 0.000 0.000
0.000 5.399 0.000
0.000 0.000 5.060
K Ga Pd Ag
1 1 2 1
Cartesian
0.000 0.000 0.000
2.530 2.700 2.530
0.000 0.000 2.530
2.530 0.000 0.000
0.000 2.700 0.000

KGaAg2Pt (PBE-GGA, optimized geometry); formation energy from the elements = -0.0728 eV/atom; offset from the most stable computed form = 0.000 eV/atom; magnetization = 0.000 μB per cell; electronic total energy = -0.119 hartree per atom
1.0
-4.681 -2.168 1.352
2.464 -3.079 3.591
-0.609 3.386 3.322
K Ga Ag Pt
1 1 2 1
Cartesian
-1.413 -0.931 4.132
-0.304 1.693 1.661
1.232 -1.540 1.795
-2.341 -1.084 0.676
0.000 0.000 0.000

K2Ga12AgPt3 (PBE-GGA, optimized geometry); formation energy from the elements = -0.1468 eV/atom; magnetization = 0.000 μB per cell; electronic total energy = -0.127 hartree per atom
1.0
-5.818 2.532 4.998
-0.627 -5.608 5.779
3.739 3.008 6.497
K Ga Ag Pt
2 12 1 3
Cartesian
-1.644 -0.041 10.498
-1.061 -0.027 6.776
1.839 1.997 8.588
-4.277 -1.622 11.525
0.689 -1.374 12.304
-4.558 1.678 7.585
-2.008 2.856 11.898
-1.084 -3.770 8.108
-4.545 -2.065 8.686
1.572 1.554 5.748
-3.395 1.307 4.969
1.853 -1.746 9.689
-0.697 -2.923 5.375
-1.622 3.703 9.166
0.000 0.000 0.000
-2.909 1.266 2.499
-0.314 -2.804 2.889
1.870 1.504 3.248

KGaAg2Pt (PBE-GGA, optimized geometry); formation energy from the elements = 0.0899 eV/atom; offset from the most stable computed form = 0.163 eV/atom; magnetization = 0.000 μB per cell; electronic total energy = -0.113 hartree per atom
1.0
5.068 0.000 0.000
0.000 4.814 0.000
0.000 0.000 5.068
K Ga Ag Pt
1 1 2 1
Cartesian
2.534 2.407 2.534
0.000 0.000 0.000
0.000 0.000 2.534
2.534 0.000 0.000
0.000 2.407 0.000

KRbGaAg2 (PBE-GGA, optimized geometry); formation energy from the elements = 0.1232 eV/atom; magnetization = 0.000 μB per cell; electronic total energy = -0.075 hartree per atom
1.0
-0.424 0.567 5.158
-5.164 -0.554 -0.364
0.596 -6.019 0.710
K Ga Rb Ag
1 1 1 2
Cartesian
0.298 -3.010 0.355
0.000 0.000 0.000
-2.496 -3.003 2.752
-2.582 -0.277 -0.182
-0.212 0.283 2.579

KGaAgRh2 (PBE-GGA, optimized geometry); formation energy from the elements = 1.8134 eV/atom; magnetization = 0.002 μB per cell; electronic total energy = -0.093 hartree per atom
1.0
4.773 0.000 0.000
0.000 5.178 0.000
0.000 0.000 4.773
K Rh Ga Ag
1 2 1 1
Cartesian
0.000 0.000 0.000
0.000 0.000 2.387
2.387 0.000 0.000
0.000 2.589 0.000
2.387 2.589 2.387